[1]
## SrLaGa (PBE)

Data for SrLaGa after structural relaxation.

a = 5.3118 Å, b = 5.3118 Å, c = 7.9611 Å
α = 90.00°, β = 90.00°, γ = 90.00°
Closest atoms and distances in Å follow each position.
Space group P4/nmm (No. 129, origin choice 2)
Inequivalent atoms, fractional coordinates:
Sr 0.2500 0.2500 0.1972 [2 per cell]  4 Ga 3.59, 5 La 3.80-3.89
La 0.2500 0.2500 0.6747 [2 per cell]  4 Ga 3.00
Ga 0.2500 0.7500 0.5000 [2 per cell]  4 La 3.00

Computed properties:
Offset from the most stable computed form, meV per atom: 95
DFT formation energy, meV/atom: -274


[2]
## GeBP2S (PBE)

Data for GeBP2S after structural relaxation.

a = 4.1866 Å, b = 4.1866 Å, c = 4.2350 Å
α = 90.00°, β = 90.00°, γ = 90.00°
Closest atoms and distances in Å follow each position.
Space group P4/mmm (No. 123)
Inequivalent atoms, fractional coordinates:
Ge 0.0000 0.0000 0.0000 [1 per cell]  4 S 2.96, 8 P 2.98
B 0.5000 0.5000 0.5000 [1 per cell]  4 P 2.09, 2 S 2.12
P 0.0000 0.5000 0.5000 [2 per cell]  2 B 2.09
S 0.5000 0.5000 0.0000 [1 per cell]  2 B 2.12

Computed properties:
Offset from the most stable computed form, meV per atom: 0
Raw formation energy, eV/atom: 0.773


[3]
## La4TePbSe2 (PBE)

Data for La4TePbSe2 after structural relaxation.

a = 7.7428 Å, b = 4.4986 Å, c = 7.7656 Å
α = 90.00°, β = 109.62°, γ = 90.00°
Closest atoms and distances in Å follow each position.
Space group P2/m (No. 10)
Inequivalent atoms, fractional coordinates:
La 0.2326 0.0000 0.2413 [2 per cell]  3 Se 3.09-3.12, 1 Pb 3.23, 2 Te 3.25
La 0.2346 0.5000 0.7465 [2 per cell]  3 Se 3.10-3.11, 2 Pb 3.23, 1 Te 3.24
Te 0.5000 0.5000 0.5000 [1 per cell]  6 La 3.24-3.25
Pb 0.5000 0.0000 0.0000 [1 per cell]  6 La 3.23
Se 0.0000 0.0000 0.5000 [1 per cell]  6 La 3.11-3.12
Se 0.0000 0.5000 0.0000 [1 per cell]  6 La 3.09-3.10

Computed properties:
Raw formation energy, eV/atom: -1.550


[4]
## Pr2YAl (PBE)

Data for Pr2YAl after structural relaxation.

a = 7.7866 Å, b = 7.7866 Å, c = 7.7866 Å
α = 90.00°, β = 90.00°, γ = 90.00°
Closest atoms and distances in Å follow each position.
Space group Fm-3m (No. 225)
Inequivalent atoms, fractional coordinates:
Pr 0.2500 0.2500 0.2500 [8 per cell]  4 Al 3.37, 4 Y 3.37
Y 0.0000 0.0000 0.0000 [4 per cell]  8 Pr 3.37
Al 0.0000 0.0000 0.5000 [4 per cell]  8 Pr 3.37

Computed properties:
Offset from the most stable computed form, meV per atom: 131
DFT formation energy, meV/atom: -42


[5]
## CaMn2Ni2 (PBE)

Data for CaMn2Ni2 after structural relaxation.

a = 3.6235 Å, b = 3.6235 Å, c = 11.0872 Å
α = 90.00°, β = 90.00°, γ = 90.00°
Closest atoms and distances in Å follow each position.
Space group I4/mmm (No. 139)
Inequivalent atoms, fractional coordinates:
Ca 0.0000 0.0000 0.0000 [2 per cell]  8 Ni 2.84
Mn 0.0000 0.5000 0.2500 [4 per cell]  4 Ni 2.38, 4 Mn 2.56
Ni 0.0000 0.0000 0.3896 [4 per cell]  4 Mn 2.38, 1 Ni 2.45

Computed properties:
Offset from the most stable computed form, meV per atom: 248
DFT formation energy, meV/atom: 362


[6]
## Ca2Be (PBE)

Data for Ca2Be after structural relaxation.

a = 9.1969 Å, b = 9.1969 Å, c = 9.1969 Å
α = 90.00°, β = 90.00°, γ = 90.00°
Closest atoms and distances in Å follow each position.
Space group Fd-3m (No. 227, origin choice 2)
Inequivalent atoms, fractional coordinates:
Ca 0.0000 0.0000 0.0000 [16 per cell]  6 Ca 3.25
Be 0.1250 0.1250 0.6250 [8 per cell]  12 Ca 3.81, 4 Be 3.98

Computed properties:
Offset from the most stable computed form, meV per atom: 848
DFT formation energy, meV/atom: 1074


[7]
## ReS4Cl (PBE)

Data for ReS4Cl after structural relaxation.

a = 7.6198 Å, b = 13.4911 Å, c = 6.0443 Å
α = 90.00°, β = 113.38°, γ = 90.00°
Closest atoms and distances in Å follow each position.
Space group C2/c (No. 15)
Inequivalent atoms, fractional coordinates:
Re 0.0000 0.0001 0.2500 [4 per cell]  8 S 2.39-2.51
S 0.0162 0.1482 0.0087 [8 per cell]  1 S 2.11
S 0.2361 0.0630 0.6182 [8 per cell]  1 S 2.11
Cl 0.0000 0.4091 0.7500 [4 per cell]  2 S 2.78

Computed properties:
Raw formation energy, eV/atom: -0.149


[8]
## KSn8Pd2 (PBE)

Data for KSn8Pd2 after structural relaxation.

a = 6.4583 Å, b = 6.4583 Å, c = 9.0893 Å
α = 90.00°, β = 90.00°, γ = 90.00°
Closest atoms and distances in Å follow each position.
Space group P4/mmm (No. 123)
Inequivalent atoms, fractional coordinates:
K 0.0000 0.0000 0.0000 [1 per cell]  8 Sn 3.73
Sn 0.2527 0.2527 0.3226 [8 per cell]  2 Pd 2.80
Pd 0.0000 0.5000 0.5000 [2 per cell]  8 Sn 2.80

Computed properties:
Offset from the most stable computed form, meV per atom: 25
DFT formation energy, meV/atom: -134


[9]
## Zr2TlSi (PBE)

Data for Zr2TlSi after structural relaxation.

a = 3.2208 Å, b = 3.2208 Å, c = 28.4643 Å
α = 90.00°, β = 90.00°, γ = 120.00°
Closest atoms and distances in Å follow each position.
Space group R-3m (No. 166, hexagonal axes)
Inequivalent atoms, fractional coordinates:
Zr 0.0000 0.0000 0.2425 [6 per cell]  3 Si 2.85, 3 Tl 3.18
Tl 0.0000 0.0000 0.0000 [3 per cell]  6 Zr 3.18, 6 Tl 3.22
Si 0.0000 0.0000 0.5000 [3 per cell]  6 Zr 2.85

Computed properties:
Raw formation energy, eV/atom: -0.115


[10]
## Sm2ZnIn (PBE)

Data for Sm2ZnIn after structural relaxation.

a = 7.5148 Å, b = 7.5148 Å, c = 7.5148 Å
α = 90.00°, β = 90.00°, γ = 90.00°
Closest atoms and distances in Å follow each position.
Space group Fm-3m (No. 225)
Inequivalent atoms, fractional coordinates:
Sm 0.2500 0.2500 0.2500 [8 per cell]  4 In 3.25, 4 Zn 3.25
Zn 0.0000 0.0000 0.0000 [4 per cell]  8 Sm 3.25
In 0.0000 0.0000 0.5000 [4 per cell]  8 Sm 3.25

Computed properties:
DFT formation energy, meV/atom: -392


[11]
## Sr2CrAg (PBE)

Data for Sr2CrAg after structural relaxation.

a = 3.9760 Å, b = 3.9760 Å, c = 8.0075 Å
α = 90.00°, β = 90.00°, γ = 90.00°
Closest atoms and distances in Å follow each position.
Space group P4/mmm (No. 123)
Inequivalent atoms, fractional coordinates:
Sr 0.0000 0.0000 0.2427 [2 per cell]  4 Ag 3.42, 4 Cr 3.49
Cr 0.5000 0.5000 0.5000 [1 per cell]  8 Sr 3.49
Ag 0.5000 0.5000 0.0000 [1 per cell]  8 Sr 3.42

Computed properties:
Offset from the most stable computed form, meV per atom: 81
DFT formation energy, meV/atom: 273


[12]
## Tl2Sb2O7 (PBE)

Data for Tl2Sb2O7 after structural relaxation.

a = 5.4092 Å, b = 9.3505 Å, c = 8.9991 Å
α = 90.00°, β = 101.80°, γ = 90.00°
Closest atoms and distances in Å follow each position.
Space group C2/m (No. 12)
Inequivalent atoms, fractional coordinates:
Tl 0.1123 0.0000 0.2914 [4 per cell]  1 O 2.09
Sb 0.0000 0.3343 0.0000 [4 per cell]  6 O 2.02-2.03
O 0.0000 0.0000 0.5000 [2 per cell]  2 Tl 2.09
O 0.1644 0.5000 0.1268 [4 per cell]  2 Sb 2.02
O 0.2338 0.1905 0.1271 [8 per cell]  2 Sb 2.03

Computed properties:
Offset from the most stable computed form, meV per atom: 55
Raw formation energy, eV/atom: -1.069


[13]
## SiSn3Bi (PBE)

Data for SiSn3Bi after structural relaxation.

a = 5.2744 Å, b = 5.2744 Å, c = 5.2744 Å
α = 90.00°, β = 90.00°, γ = 90.00°
Closest atoms and distances in Å follow each position.
Space group Pm-3m (No. 221)
Inequivalent atoms, fractional coordinates:
Si 0.0000 0.0000 0.0000 [1 per cell]  6 Sn 2.64
Sn 0.0000 0.0000 0.5000 [3 per cell]  2 Si 2.64
Bi 0.5000 0.5000 0.5000 [1 per cell]  12 Sn 3.73

Computed properties:
Offset from the most stable computed form, meV per atom: 0
Raw formation energy, eV/atom: 0.379


[14]
## Gd2AlBi (PBE)

Data for Gd2AlBi after structural relaxation.

a = 4.0012 Å, b = 4.0012 Å, c = 6.7589 Å
α = 90.00°, β = 90.00°, γ = 90.00°
Closest atoms and distances in Å follow each position.
Space group P4/mmm (No. 123)
Inequivalent atoms, fractional coordinates:
Gd 0.0000 0.0000 0.2432 [2 per cell]  4 Al 3.27, 2 Gd 3.29-3.47, 4 Bi 3.32
Al 0.5000 0.5000 0.0000 [1 per cell]  8 Gd 3.27, 2 Bi 3.38
Bi 0.5000 0.5000 0.5000 [1 per cell]  8 Gd 3.32, 2 Al 3.38

Computed properties:
Offset from the most stable computed form, meV per atom: 0
DFT formation energy, meV/atom: -519


[15]
## Tl2SeCl (PBE)

Data for Tl2SeCl after structural relaxation.

a = 7.5832 Å, b = 7.5832 Å, c = 7.5832 Å
α = 90.00°, β = 90.00°, γ = 90.00°
Closest atoms and distances in Å follow each position.
Space group Fm-3m (No. 225)
Inequivalent atoms, fractional coordinates:
Tl 0.2500 0.2500 0.2500 [8 per cell]  4 Cl 3.28, 4 Se 3.28
Se 0.0000 0.0000 0.0000 [4 per cell]  8 Tl 3.28
Cl 0.0000 0.0000 0.5000 [4 per cell]  8 Tl 3.28

Computed properties:
Offset from the most stable computed form, meV per atom: 98
Raw formation energy, eV/atom: -0.484


[16]
## BaPr2 (PBE)

Data for BaPr2 after structural relaxation.

a = 3.8539 Å, b = 3.8539 Å, c = 17.1604 Å
α = 90.00°, β = 90.00°, γ = 90.00°
Closest atoms and distances in Å follow each position.
Space group I4/mmm (No. 139)
Inequivalent atoms, fractional coordinates:
Ba 0.0000 0.0000 0.0000 [2 per cell]  4 Ba 3.85, 8 Pr 4.13
Pr 0.0000 0.0000 0.3192 [4 per cell]  8 Pr 3.61-3.85

Computed properties:
Offset from the most stable computed form, meV per atom: 0
DFT formation energy, meV/atom: 110


[17]
## ErAgCl4 (PBE)

Data for ErAgCl4 after structural relaxation.

a = 8.3272 Å, b = 16.2589 Å, c = 6.6492 Å
α = 90.00°, β = 125.84°, γ = 90.00°
Closest atoms and distances in Å follow each position.
Space group C2/c (No. 15)
Inequivalent atoms, fractional coordinates:
Er 0.0000 0.0695 0.2500 [4 per cell]  6 Cl 2.59-2.69
Ag 0.0000 0.3334 0.7500 [4 per cell]  2 Cl 2.42
Cl 0.2035 0.1855 0.2315 [8 per cell]  1 Ag 2.42, 1 Er 2.59
Cl 0.2234 0.0458 0.7336 [8 per cell]  2 Er 2.64-2.69

Computed properties:
Offset from the most stable computed form, meV per atom: 2
Raw formation energy, eV/atom: -1.647


[18]
## CdSb2As (PBE)

Data for CdSb2As after structural relaxation.

a = 7.3048 Å, b = 7.3048 Å, c = 7.3048 Å
α = 90.00°, β = 90.00°, γ = 90.00°
Closest atoms and distances in Å follow each position.
Space group Fm-3m (No. 225)
Inequivalent atoms, fractional coordinates:
Cd 0.0000 0.0000 0.0000 [4 per cell]  8 Sb 3.16
Sb 0.2500 0.2500 0.2500 [8 per cell]  4 Cd 3.16, 4 As 3.16
As 0.0000 0.0000 0.5000 [4 per cell]  8 Sb 3.16

Computed properties:
Offset from the most stable computed form, meV per atom: 221
Raw formation energy, eV/atom: 0.264


[19]
## UNi3B (PBE)

Data for UNi3B after structural relaxation.

a = 4.9942 Å, b = 4.6460 Å, c = 6.8921 Å
α = 90.00°, β = 126.45°, γ = 90.00°
Closest atoms and distances in Å follow each position.
Space group Pc (No. 7)
Inequivalent atoms, fractional coordinates:
U 0.0000 0.1227 0.0000 [2 per cell]  3 B 2.56-2.78, 4 Ni 2.59-2.85
Ni 0.3170 0.3268 0.7609 [2 per cell]  2 B 2.03-2.06
Ni 0.5336 0.1232 0.5145 [2 per cell]  1 B 1.98
Ni 0.6665 0.3771 0.1929 [2 per cell]  2 B 2.05-2.27
B 0.1747 0.4036 0.4165 [2 per cell]  4 Ni 1.98-2.06

Computed properties:
DFT formation energy, meV/atom: -166


[20]
## CaSm8Y3 (PBE)

Data for CaSm8Y3 after structural relaxation.

a = 8.7432 Å, b = 8.7432 Å, c = 12.1291 Å
α = 90.00°, β = 90.00°, γ = 90.00°
Closest atoms and distances in Å follow each position.
Space group I-42m (No. 121)
Inequivalent atoms, fractional coordinates:
Ca 0.0000 0.0000 0.0000 [2 per cell]  4 Sm 3.36
Sm 0.1409 0.1409 0.7218 [8 per cell]  3 Sm 3.18-3.49, 3 Y 3.21-3.39
Sm 0.2330 0.2330 0.4501 [8 per cell]  1 Y 2.94, 1 Sm 3.18
Y 0.0000 0.0000 0.5000 [2 per cell]  8 Sm 2.94-3.21
Y 0.0000 0.5000 0.2500 [4 per cell]  4 Sm 3.39

Computed properties:
DFT formation energy, meV/atom: 634


[21]
## Co2BiAu (PBE)

Data for Co2BiAu after structural relaxation.

a = 4.1126 Å, b = 4.1126 Å, c = 18.4196 Å
α = 90.00°, β = 90.00°, γ = 90.00°
Closest atoms and distances in Å follow each position.
Space group I-42d (No. 122)
Inequivalent atoms, fractional coordinates:
Co 0.1466 0.2500 0.1250 [8 per cell]  2 Co 2.38, 2 Au 2.59
Bi 0.0000 0.0000 0.5000 [4 per cell]  4 Au 2.91, 4 Co 2.91
Au 0.0000 0.0000 0.0000 [4 per cell]  4 Co 2.59

Computed properties:
DFT formation energy, meV/atom: 578


[22]
## GaPtNF2 (PBE)

Data for GaPtNF2 after structural relaxation.

a = 4.6879 Å, b = 4.6879 Å, c = 3.6687 Å
α = 90.00°, β = 90.00°, γ = 90.00°
Closest atoms and distances in Å follow each position.
Space group P4/mmm (No. 123)
Inequivalent atoms, fractional coordinates:
Ga 0.0000 0.0000 0.0000 [1 per cell]  8 F 2.98, 4 N 3.31
Pt 0.5000 0.5000 0.5000 [1 per cell]  2 N 1.83
N 0.5000 0.5000 0.0000 [1 per cell]  2 Pt 1.83
F 0.0000 0.5000 0.5000 [2 per cell]  2 Pt 2.34

Computed properties:
Offset from the most stable computed form, meV per atom: 0
Raw formation energy, eV/atom: -0.349


[23]
## CsCaZnF6 (PBE)

Data for CsCaZnF6 after structural relaxation.

a = 7.7948 Å, b = 7.8138 Å, c = 10.2097 Å
α = 90.00°, β = 90.00°, γ = 90.00°
Closest atoms and distances in Å follow each position.
Space group Imma (No. 74)
Inequivalent atoms, fractional coordinates:
Cs 0.0000 0.2500 0.1433 [4 per cell]  9 F 2.97-3.25
Ca 0.2500 0.2500 0.7500 [4 per cell]  6 F 2.21-2.41
Zn 0.0000 0.0000 0.5000 [4 per cell]  6 F 1.95-2.00
F 0.0000 0.2500 0.5424 [4 per cell]  2 Zn 2.00
F 0.0000 0.2500 0.8524 [4 per cell]  2 Ca 2.21
F 0.1776 0.0099 0.3651 [16 per cell]  1 Zn 1.95

Computed properties:
Raw formation energy, eV/atom: -2.726


[24]
## Th6CoSb2 (PBE)

Data for Th6CoSb2 after structural relaxation.

a = 6.4285 Å, b = 8.0960 Å, c = 11.9854 Å
α = 90.00°, β = 120.61°, γ = 90.00°
Closest atoms and distances in Å follow each position.
Space group P2_1/c (No. 14)
Inequivalent atoms, fractional coordinates:
Th 0.0955 0.1923 0.4602 [4 per cell]  1 Co 2.85
Th 0.3230 0.6835 0.4629 [4 per cell]  1 Co 2.75
Th 0.3631 0.0182 0.2514 [4 per cell]  1 Co 2.65
Co 0.5000 0.0000 0.5000 [2 per cell]  6 Th 2.65-2.85
Sb 0.1553 0.1077 0.7476 [4 per cell]  9 Th 3.20-3.49

Computed properties:
Raw formation energy, eV/atom: -0.438


Across the entries above, final energy takes the values -20.92, -22.38, -45.93, -79.74, -60.19, -36.06, -126.80, -44.98, -76.04, -60.08, -14.75, -118.88, -19.42, -37.86, -47.99, -22.30, -98.72, -51.01, -72.28, -103.07, -76.23, -22.88, -159.58, -127.63 eV per cell, respectively.